1.
Density functional theory data (PBE with a Hubbard U) for a relaxed VGaNO2 crystal.

abc: 3.6861 3.6861 4.1338
angles: 90.00 90.00 90.00
Last column: nearest neighbours and their distance in Å.
Element x y z (fractional)
V 0.0000 0.0000 0.0000  4 O 1.84
Ga 0.5000 0.5000 0.5000  4 N 2.61, 8 O 2.77
N 0.0000 0.0000 0.5000  2 V 2.07
O 0.0000 0.5000 0.0000  2 V 1.84
O 0.5000 0.0000 0.0000  2 V 1.84

Calculated values
Its volume is 11.233 Å³/atom. Its space-group type is No. 123. The calculated total energy is -31.7 eV/cell.

***

2.
Density functional theory data (PBE with a Hubbard U) for a relaxed VGaNO2 crystal.

abc: 3.8382 3.8382 3.8769
angles: 90.00 90.00 90.00
Last column: nearest neighbours and their distance in Å.
Element x y z (fractional)
V 0.0000 0.0000 0.0000  4 N 2.71, 8 O 2.73
Ga 0.5000 0.5000 0.5000  4 O 1.92, 2 N 1.94
N 0.5000 0.5000 0.0000  2 Ga 1.94
O 0.0000 0.5000 0.5000  2 Ga 1.92
O 0.5000 0.0000 0.5000  2 Ga 1.92

Calculated values
Its volume is 11.423 Å³/atom. Its space-group type is No. 123. The calculated total energy is -29.3 eV/cell.

***

3.
Density functional theory data (PBE with a Hubbard U) for a relaxed VGaN2O crystal.

abc: 3.8294 3.8294 3.7523
angles: 90.00 90.00 90.00
Last column: nearest neighbours and their distance in Å.
Element x y z (fractional)
V 0.0000 0.0000 0.0000  8 N 2.68, 4 O 2.71
Ga 0.5000 0.5000 0.5000  2 O 1.88, 4 N 1.91
N 0.0000 0.5000 0.5000  2 Ga 1.91
N 0.5000 0.0000 0.5000  2 Ga 1.91
O 0.5000 0.5000 0.0000  2 Ga 1.88

Calculated values
Its volume is 11.005 Å³/atom. Its space-group type is No. 123. The calculated total energy is -27.2 eV/cell.

***

4.
Density functional theory data (PBE with a Hubbard U) for a relaxed GaWN2O crystal.

abc: 4.0279 4.0279 3.9321
angles: 90.00 90.00 90.00
Last column: nearest neighbours and their distance in Å.
Element x y z (fractional)
Ga 0.0000 0.0000 0.0000  8 N 2.81, 4 O 2.85
W 0.5000 0.5000 0.5000  2 O 1.97, 4 N 2.01
N 0.0000 0.5000 0.5000  2 W 2.01
N 0.5000 0.0000 0.5000  2 W 2.01
O 0.5000 0.5000 0.0000  2 W 1.97

Calculated values
Its volume is 12.759 Å³/atom. Its space-group type is No. 123. The calculated total energy is -32.4 eV/cell.

***

5.
Density functional theory data (PBE with a Hubbard U) for a relaxed GaWN2O crystal.

abc: 3.8555 3.8555 3.7976
angles: 90.00 90.00 90.00
Last column: nearest neighbours and their distance in Å.
Element x y z (fractional)
Ga 0.0000 0.0000 0.0000  2 O 1.90, 4 N 1.93
W 0.5000 0.5000 0.5000  8 N 2.71, 4 O 2.73
N 0.0000 0.5000 0.0000  2 Ga 1.93
N 0.5000 0.0000 0.0000  2 Ga 1.93
O 0.0000 0.0000 0.5000  2 Ga 1.90

Calculated values
Its volume is 11.290 Å³/atom. Its space-group type is No. 123. The calculated total energy is -28.0 eV/cell.